{"formula": "Nd3Er6Sc", "functional": "GGA-PBE", "state": "optimized geometry", "final_energy_ev_per_atom": -4.77, "e_form_ev_per_atom": 0.033, "relative_energy_mev_per_atom": 0, "spacegroup": "No. 2", "crystal_system": "triclinic", "lattice": [[7.350, -0.032, -2.885], [-1.105, 8.804, -2.884], [-1.950, -0.448, 5.751]], "species": ["Nd", "Nd", "Nd", "Er", "Er", "Er", "Er", "Er", "Er", "Sc"], "fractional_positions": [[0.602, 0.206, 0.606], [0.398, 0.794, 0.394], [0.000, 0.000, 0.000], [0.204, 0.403, 0.204], [0.097, 0.696, 0.596], [0.796, 0.597, 0.796], [0.903, 0.304, 0.404], [0.302, 0.103, 0.803], [0.698, 0.897, 0.197], [0.500, 0.500, 0.000]]}